Model w:
5
Lattice="-4.133 0.805 1.337 1.211 -0.731 4.185 2.721 5.450 -2.168" Properties=species:S:1:pos:R:3 comment="KLi2Au2 (GGA-PBEsol, optimized geometry)" rho_g_cm3=6.718 pbc="T T T"
Au -1.156 1.362 2.904
Li 1.236 2.378 2.389
K 0.000 0.000 0.000
Au 0.956 4.162 0.450
Li -1.436 3.146 0.965

=====

Model x:
10
Lattice="2.894 0.000 0.000 0.000 8.121 0.000 0.000 0.000 8.121" Properties=species:S:1:pos:R:3 comment="KLi2Au2 (GGA-PBEsol, optimized geometry)" rho_g_cm3=7.778 pbc="T T T"
Au 1.447 5.389 6.792
Li 0.000 3.069 7.130
Li 0.000 5.051 0.991
Au 1.447 2.732 1.329
Au 1.447 6.792 2.732
Li 0.000 7.130 5.051
K 0.000 4.060 4.060
K 0.000 0.000 0.000
Au 1.447 1.329 5.389
Li 0.000 0.991 3.069

=====

Structures ranked by computed energy, the most stable listed first: model x, model w.